VASP calculation (PBE with a Hubbard U) on a relaxed MoPtO3 crystal.

Cell and atoms, written as extended XYZ:
```
5
Lattice="3.9779 0.0000 0.0000 0.0000 3.9779 0.0000 0.0000 0.0000 3.9779" Properties=species:S:1:pos:R:3 pbc="T T T"
Mo 0.0000 0.0000 0.0000
Pt 1.9890 1.9890 1.9890
O 0.0000 1.9890 1.9890
O 1.9890 0.0000 1.9890
O 1.9890 1.9890 0.0000
```

Summary:
For the magnetic moment, the calculation gives 3.35 μB/f.u. The calculation puts the density of states at the Fermi level at 0.486 states/eV per atom. The raw total energy comes out at -0.2017 hartree per atom. The calculated density is 8.9 Mg/m³.